No. 1
# CaB3O6

A geometry-optimized CaB3O6 structure (GGA-PBEsol, Alexandria).

Computed properties:
* energy above the most stable polymorph in this dataset: 0.000 eV/f.u.

Geometry as CIF:
```
data_CaB3O6
_space_group_name_H-M_alt 'P n a 21'
_space_group_IT_number 33
_space_group_name_Hall 'P 2c -2n'
_cell_length_a 13.692
_cell_length_b 6.944
_cell_length_c 4.378
_cell_angle_alpha 90.00
_cell_angle_beta 90.00
_cell_angle_gamma 90.00
loop_
_atom_site_label
_atom_site_type_symbol
_atom_site_fract_x
_atom_site_fract_y
_atom_site_fract_z
Ca1 Ca 0.090 0.241 0.000
B1 B 0.076 0.726 0.941
B2 B 0.146 0.864 0.432
B3 B 0.234 0.617 0.145
O1 O 0.022 0.320 0.530
O2 O 0.074 0.772 0.620
O3 O 0.098 0.899 0.130
O4 O 0.148 0.569 0.002
O5 O 0.176 0.049 0.564
O6 O 0.235 0.748 0.380
```

No. 2
# CaB3O6

A geometry-optimized CaB3O6 structure (GGA-PBEsol, Alexandria).

Computed properties:
* energy above the most stable polymorph in this dataset: 0.051 eV/f.u.

Geometry as CIF:
```
data_CaB3O6
_space_group_name_H-M_alt 'P 1 21/c 1'
_space_group_IT_number 14
_space_group_name_Hall '-P 2ybc'
_cell_length_a 6.573
_cell_length_b 10.192
_cell_length_c 6.705
_cell_angle_alpha 90.00
_cell_angle_beta 117.16
_cell_angle_gamma 90.00
loop_
_atom_site_label
_atom_site_type_symbol
_atom_site_fract_x
_atom_site_fract_y
_atom_site_fract_z
Ca1 Ca 0.106 0.073 0.290
B1 B 0.264 0.117 0.907
B2 B 0.362 0.576 0.229
B3 B 0.408 0.728 0.967
O1 O 0.058 0.127 0.933
O2 O 0.225 0.042 0.704
O3 O 0.269 0.685 0.310
O4 O 0.325 0.610 0.001
O5 O 0.363 0.246 0.903
O6 O 0.398 0.044 0.116
```

No. 3
# CaB2O4

A geometry-optimized CaB2O4 structure (GGA-PBEsol, Alexandria).

Computed properties:
* energy above the most stable polymorph in this dataset: 0.067 eV/f.u.

Geometry as CIF:
```
data_CaB2O4
_space_group_name_H-M_alt 'P n a 21'
_space_group_IT_number 33
_space_group_name_Hall 'P 2c -2n'
_cell_length_a 11.357
_cell_length_b 6.372
_cell_length_c 11.283
_cell_angle_alpha 90.00
_cell_angle_beta 90.00
_cell_angle_gamma 90.00
loop_
_atom_site_label
_atom_site_type_symbol
_atom_site_fract_x
_atom_site_fract_y
_atom_site_fract_z
Ca1 Ca 0.033 0.161 0.000
Ca2 Ca 0.072 0.554 0.767
Ca3 Ca 0.246 0.112 0.544
B1 B 0.025 0.376 0.514
B2 B 0.036 0.020 0.744
B3 B 0.138 0.751 0.304
B4 B 0.177 0.099 0.209
B5 B 0.212 0.620 0.506
B6 B 0.249 0.418 0.317
O1 O 0.004 0.798 0.295
O2 O 0.043 0.136 0.212
O3 O 0.045 0.168 0.523
O4 O 0.073 0.531 0.966
O5 O 0.107 0.521 0.565
O6 O 0.143 0.528 0.278
O7 O 0.152 0.977 0.732
O8 O 0.172 0.795 0.429
O9 O 0.200 0.873 0.213
O10 O 0.212 0.204 0.099
O11 O 0.217 0.968 0.939
O12 O 0.235 0.192 0.311
```

No. 4
# Ca2B2O5

A geometry-optimized Ca2B2O5 structure (GGA-PBEsol, Alexandria).

Computed properties:
* energy above the most stable polymorph in this dataset: 0.050 eV/f.u.

Geometry as CIF:
```
data_Ca2B2O5
_space_group_name_H-M_alt 'P 1 21/c 1'
_space_group_IT_number 14
_space_group_name_Hall '-P 2ybc'
_cell_length_a 7.154
_cell_length_b 5.163
_cell_length_c 11.492
_cell_angle_alpha 90.00
_cell_angle_beta 93.40
_cell_angle_gamma 90.00
loop_
_atom_site_label
_atom_site_type_symbol
_atom_site_fract_x
_atom_site_fract_y
_atom_site_fract_z
Ca1 Ca 0.118 0.062 0.367
Ca2 Ca 0.375 0.600 0.166
B1 B 0.162 0.061 0.089
B2 B 0.346 0.576 0.404
O1 O 0.091 0.583 0.675
O2 O 0.144 0.179 0.571
O3 O 0.272 0.596 0.515
O4 O 0.355 0.149 0.843
O5 O 0.393 0.694 0.856
```

No. 5
# CaB4O7

A geometry-optimized CaB4O7 structure (GGA-PBEsol, Alexandria).

Computed properties:
* energy above the most stable polymorph in this dataset: 0.000 eV/f.u.

Geometry as CIF:
```
data_CaB4O7
_space_group_name_H-M_alt 'P m n 21'
_space_group_IT_number 31
_space_group_name_Hall 'P 2ac -2'
_cell_length_a 10.606
_cell_length_b 4.368
_cell_length_c 4.191
_cell_angle_alpha 90.00
_cell_angle_beta 90.00
_cell_angle_gamma 90.00
loop_
_atom_site_label
_atom_site_type_symbol
_atom_site_fract_x
_atom_site_fract_y
_atom_site_fract_z
Ca1 Ca 0.000 0.193 0.000
B1 B 0.120 0.674 0.503
B2 B 0.249 0.822 0.981
O1 O 0.000 0.784 0.392
O2 O 0.133 0.723 0.844
O3 O 0.137 0.352 0.426
O4 O 0.225 0.862 0.340
```

No. 6
# CaB4O7

A geometry-optimized CaB4O7 structure (GGA-PBEsol, Alexandria).

Computed properties:
* energy above the most stable polymorph in this dataset: 0.141 eV/f.u.

Geometry as CIF:
```
data_CaB4O7
_space_group_name_H-M_alt 'P 1 21/c 1'
_space_group_IT_number 14
_space_group_name_Hall '-P 2ybc'
_cell_length_a 7.820
_cell_length_b 9.881
_cell_length_c 14.408
_cell_angle_alpha 90.00
_cell_angle_beta 121.36
_cell_angle_gamma 90.00
loop_
_atom_site_label
_atom_site_type_symbol
_atom_site_fract_x
_atom_site_fract_y
_atom_site_fract_z
Ca1 Ca 0.014 0.116 0.346
Ca2 Ca 0.358 0.082 0.062
B1 B 0.083 0.570 0.681
B2 B 0.125 0.710 0.550
B3 B 0.223 0.109 0.801
B4 B 0.227 0.178 0.210
B5 B 0.275 0.674 0.867
B6 B 0.290 0.585 0.034
B7 B 0.301 0.109 0.652
B8 B 0.436 0.707 0.542
O1 O 0.010 0.148 0.927
O2 O 0.072 0.025 0.802
O3 O 0.122 0.652 0.043
O4 O 0.154 0.248 0.264
O5 O 0.200 0.046 0.179
O6 O 0.217 0.577 0.915
O7 O 0.217 0.672 0.760
O8 O 0.259 0.636 0.538
O9 O 0.267 0.038 0.723
O10 O 0.311 0.055 0.569
O11 O 0.318 0.249 0.663
O12 O 0.389 0.718 0.427
O13 O 0.400 0.109 0.910
O14 O 0.468 0.664 0.093
```

No. 7
# CaBO2

A geometry-optimized CaBO2 structure (GGA-PBEsol, Alexandria).

Computed properties:
* E_tot: -7.065 eV/atom

Geometry as CIF:
```
data_CaBO2
_space_group_name_H-M_alt 'R -3 m'
_space_group_IT_number 166
_space_group_name_Hall '-R 3 2"'
_cell_length_a 3.8441
_cell_length_b 3.8441
_cell_length_c 13.6896
_cell_angle_alpha 90.00
_cell_angle_beta 90.00
_cell_angle_gamma 120.00
loop_
_atom_site_label
_atom_site_type_symbol
_atom_site_fract_x
_atom_site_fract_y
_atom_site_fract_z
Ca1 Ca 0.0000 0.0000 0.0000
B1 B 0.0000 0.0000 0.5000
O1 O 0.0000 0.0000 0.4048
```

No. 8
# CaB2O4

A geometry-optimized CaB2O4 structure (GGA-PBEsol, Alexandria).

Computed properties:
* energy above the most stable polymorph in this dataset: 0.324 eV/f.u.

Geometry as CIF:
```
data_CaB2O4
_space_group_name_H-M_alt 'P b c n'
_space_group_IT_number 60
_space_group_name_Hall '-P 2n 2ab'
_cell_length_a 11.571
_cell_length_b 4.292
_cell_length_c 6.170
_cell_angle_alpha 90.00
_cell_angle_beta 90.00
_cell_angle_gamma 90.00
loop_
_atom_site_label
_atom_site_type_symbol
_atom_site_fract_x
_atom_site_fract_y
_atom_site_fract_z
Ca1 Ca 0.000 0.224 0.250
B1 B 0.192 0.329 0.627
O1 O 0.085 0.227 0.591
O2 O 0.207 0.348 0.151
```